1.
{
  "formula": "Ta3PtN",
  "functional": "PBE",
  "state": "optimized geometry",
  "formation_energy_uncorrected_mev_per_atom": -727,
  "lattice": [[-1.133, 0.120, 2.879], [5.038, -6.856, -1.048], [3.664, 3.282, 4.622]],
  "species": ["Pt", "Pt", "Ta", "Ta", "Ta", "Ta", "Ta", "Ta", "N", "N"],
  "frac_coords": [[0.498, 0.131, 0.382], [0.502, 0.869, 0.618], [0.533, 0.647, 0.865], [0.015, 0.631, 0.369], [0.985, 0.369, 0.631], [0.008, 0.904, 0.147], [0.992, 0.096, 0.853], [0.467, 0.353, 0.135], [0.765, 0.631, 0.118], [0.235, 0.369, 0.882]]
}

---

2.
{
  "formula": "PaSBr3",
  "functional": "PBE",
  "state": "optimized geometry",
  "formation_energy_uncorrected_mev_per_atom": -1420,
  "e_above_lowest_polymorph_ev_per_fu": 0.000,
  "lattice": [[7.018, 0.874, 6.328], [0.549, 7.051, 6.328], [1.440, 1.508, 10.540]],
  "species": ["Br", "Br", "Br", "Br", "Br", "Br", "S", "S", "Pa", "Pa"],
  "frac_coords": [[0.078, 0.451, 0.831], [0.451, 0.078, 0.831], [0.474, 0.474, 0.242], [0.549, 0.922, 0.169], [0.922, 0.549, 0.169], [0.526, 0.526, 0.758], [0.089, 0.089, 0.515], [0.911, 0.911, 0.485], [0.213, 0.213, 0.124], [0.787, 0.787, 0.876]]
}

---

3.
{
  "formula": "Cs2GeBi",
  "functional": "PBE",
  "state": "optimized geometry",
  "e_above_lowest_polymorph_ev_per_fu": 0.373,
  "ef_mev_per_atom": -3,
  "lattice": [[-3.696, -9.526, 0.250], [7.197, 6.568, 3.088], [-7.228, 3.809, 6.141]],
  "species": ["Cs", "Cs", "Cs", "Cs", "Ge", "Ge", "Bi", "Bi"],
  "frac_coords": [[0.687, 0.375, 0.812], [0.125, 0.313, 0.688], [0.625, 0.437, 0.312], [0.563, 0.875, 0.188], [0.500, 0.500, 0.000], [0.750, 0.250, 0.500], [0.250, 0.750, 0.500], [0.000, 0.000, 0.000]]
}

---

4.
{
  "formula": "LaPm3Pd",
  "functional": "PBE",
  "state": "optimized geometry",
  "e_above_lowest_polymorph_ev_per_fu": 0.645,
  "ef_mev_per_atom": -114,
  "lattice": [[5.643, 0.000, 0.000], [0.000, 5.643, 0.000], [0.000, 0.000, 5.643]],
  "species": ["Pm", "Pm", "Pm", "La", "Pd"],
  "frac_coords": [[0.000, 0.000, 0.500], [0.500, 0.000, 0.000], [0.000, 0.500, 0.000], [0.500, 0.500, 0.500], [0.000, 0.000, 0.000]]
}

---

5.
{
  "formula": "Ba2TaTl",
  "functional": "PBE",
  "state": "optimized geometry",
  "e_above_lowest_polymorph_ev_per_fu": 0.780,
  "ef_mev_per_atom": 734,
  "lattice": [[-1.408, -3.153, -5.146], [4.600, -3.984, 1.171], [-2.323, -2.114, 1.931]],
  "species": ["Ba", "Ba", "Tl", "Ta"],
  "frac_coords": [[0.500, 0.500, 0.000], [0.000, 0.000, 0.000], [0.000, 0.500, 0.500], [0.500, 0.000, 0.500]]
}

---

6.
{
  "formula": "HfTi5N4",
  "functional": "PBE",
  "state": "optimized geometry",
  "formation_energy_uncorrected_mev_per_atom": -1453,
  "lattice": [[-0.398, -1.486, 2.655], [5.619, -2.447, -0.528], [1.109, 6.337, 1.939]],
  "species": ["N", "N", "N", "N", "Ti", "Ti", "Ti", "Ti", "Ti", "Hf"],
  "frac_coords": [[0.005, 0.264, 0.010], [0.995, 0.736, 0.990], [0.672, 0.089, 0.344], [0.328, 0.911, 0.656], [0.500, 0.500, 0.000], [0.173, 0.323, 0.347], [0.834, 0.150, 0.668], [0.166, 0.850, 0.332], [0.827, 0.677, 0.653], [0.500, 0.000, 0.000]]
}

---

7.
{
  "formula": "Li8SiPd2",
  "functional": "PBE",
  "state": "optimized geometry",
  "formation_energy_uncorrected_mev_per_atom": -244,
  "lattice": [[-3.470, 1.982, 1.152], [-2.912, -6.716, 2.795], [0.750, -2.304, 6.229]],
  "species": ["Pd", "Pd", "Li", "Li", "Li", "Li", "Li", "Li", "Li", "Li", "Si"],
  "frac_coords": [[0.000, 0.377, 0.247], [0.000, 0.623, 0.753], [0.000, 0.704, 0.258], [0.500, 0.244, 0.512], [0.500, 0.664, 0.000], [0.000, 0.038, 0.258], [0.000, 0.962, 0.742], [0.500, 0.336, 0.000], [0.500, 0.756, 0.488], [0.000, 0.296, 0.742], [0.500, 0.000, 0.000]]
}

---

8.
{
  "formula": "Mg2Ga6Fe",
  "functional": "PBE",
  "state": "optimized geometry",
  "ef_mev_per_atom": -72,
  "lattice": [[6.234, -0.119, -0.069], [0.107, 5.396, 0.004], [0.107, 2.692, 4.676]],
  "species": ["Ga", "Ga", "Ga", "Ga", "Ga", "Ga", "Mg", "Mg", "Fe"],
  "frac_coords": [[0.684, 0.168, 0.168], [0.685, 0.168, 0.666], [0.315, 0.334, 0.832], [0.315, 0.832, 0.334], [0.685, 0.666, 0.168], [0.316, 0.832, 0.832], [0.084, 0.333, 0.333], [0.916, 0.667, 0.667], [0.000, 0.000, 0.000]]
}

---

9.
{
  "formula": "AsPW3",
  "functional": "PBE",
  "state": "optimized geometry",
  "e_above_lowest_polymorph_ev_per_fu": 0.000,
  "ef_mev_per_atom": 1105,
  "lattice": [[4.489, 0.000, 0.000], [0.000, 4.489, 0.000], [0.000, 0.000, 4.489]],
  "species": ["W", "W", "W", "As", "P"],
  "frac_coords": [[0.000, 0.500, 0.000], [0.500, 0.000, 0.000], [0.000, 0.000, 0.500], [0.500, 0.500, 0.500], [0.000, 0.000, 0.000]]
}

---

10.
{
  "formula": "Sm3Ho2Al3",
  "functional": "PBE",
  "state": "optimized geometry",
  "e_above_lowest_polymorph_ev_per_fu": 0.443,
  "ef_mev_per_atom": -227,
  "lattice": [[-2.321, 2.357, 0.044], [-6.018, -5.901, -1.313], [2.267, 2.084, 7.955]],
  "species": ["Ho", "Ho", "Sm", "Sm", "Sm", "Al", "Al", "Al"],
  "frac_coords": [[0.000, 0.667, 0.333], [0.000, 0.333, 0.667], [0.000, 0.243, 0.000], [0.000, 0.757, 0.757], [0.000, 0.000, 0.243], [0.500, 0.614, 0.000], [0.500, 0.000, 0.614], [0.500, 0.386, 0.386]]
}

---

11.
{
  "formula": "TbIn2Pb",
  "functional": "PBE",
  "state": "optimized geometry",
  "ef_mev_per_atom": -367,
  "lattice": [[-1.145, -2.094, 4.380], [3.757, -2.652, -0.286], [2.449, 3.234, 2.186]],
  "species": ["Pb", "In", "In", "Tb"],
  "frac_coords": [[0.500, 0.500, 0.500], [0.000, 0.500, 0.000], [0.000, 0.000, 0.500], [0.500, 0.000, 0.000]]
}

---

12.
{
  "formula": "Li5GaPd2",
  "functional": "PBE",
  "state": "optimized geometry",
  "ef_mev_per_atom": -391,
  "lattice": [[-1.835, 3.269, -0.914], [-4.845, -2.401, 1.139], [0.791, 3.376, 10.485]],
  "species": ["Li", "Li", "Li", "Li", "Li", "Li", "Li", "Li", "Li", "Li", "Pd", "Pd", "Pd", "Pd", "Ga", "Ga"],
  "frac_coords": [[0.000, 0.528, 0.248], [0.500, 0.777, 0.130], [0.500, 0.277, 0.370], [0.500, 0.223, 0.870], [0.000, 0.000, 0.000], [0.000, 0.472, 0.752], [0.000, 0.972, 0.748], [0.000, 0.028, 0.252], [0.500, 0.723, 0.630], [0.000, 0.500, 0.500], [0.500, 0.214, 0.614], [0.500, 0.286, 0.114], [0.500, 0.786, 0.386], [0.500, 0.714, 0.886], [0.000, 0.500, 0.000], [0.000, 0.000, 0.500]]
}

---

| no. | total magnetization (μB/cell) |
| --- | --- |
| 1 | 0.00 |
| 2 | 0.00 |
| 3 | 0.00 |
| 4 | 0.09 |
| 5 | 2.54 |
| 6 | 0.00 |
| 7 | 0.00 |
| 8 | 1.35 |
| 9 | 0.00 |
| 10 | 0.00 |
| 11 | 0.00 |
| 12 | 0.00 |